1.
TcSb2TeN | PBE-GGA | relaxed Values from VASP.

Calculated values
Energy above the most stable polymorph in this dataset, eV per atom: 0.0000
Uncorrected formation energy, eV/atom: 0.945
Space-group type: P4/mmm

Quantum ESPRESSO input file:
```
&SYSTEM
  ibrav = 0, nat = 5, ntyp = 4
/
ATOMIC_SPECIES
Tc 98.00 Tc.upf
Sb 121.76 Sb.upf
Te 127.60 Te.upf
N 14.01 N.upf
ATOMIC_POSITIONS angstrom
Tc 0.0000 0.0000 0.0000
Sb 0.0000 2.3355 2.2710
Sb 2.3355 0.0000 2.2710
Te 2.3355 2.3355 0.0000
N 2.3355 2.3355 2.2710
CELL_PARAMETERS angstrom
4.6710 0.0000 0.0000
0.0000 4.6710 0.0000
0.0000 0.0000 4.5420
```

***

2.
ErZrPd6 | PBE-GGA | relaxed Values from VASP.

Calculated values
Energy above the most stable polymorph in this dataset, eV per atom: 0.6305
Space-group type: R-3m
E_form, eV/atom: -0.249

Quantum ESPRESSO input file:
```
&SYSTEM
  ibrav = 0, nat = 8, ntyp = 3
/
ATOMIC_SPECIES
Er 167.26 Er.upf
Zr 91.22 Zr.upf
Pd 106.42 Pd.upf
ATOMIC_POSITIONS angstrom
Er 0.0000 0.0000 0.0000
Zr 0.0000 0.0000 5.0634
Pd 0.0000 -1.5837 2.9240
Pd -1.3716 0.7919 2.9240
Pd -1.3716 -0.7919 7.2027
Pd 1.3715 0.7919 2.9240
Pd 1.3715 -0.7919 7.2027
Pd 0.0000 1.5837 7.2027
CELL_PARAMETERS angstrom
3.6943 2.1329 3.3756
-3.6943 2.1329 3.3756
0.0000 -4.2658 3.3756
```

***

3.
La2Er3Mg2 | PBE-GGA | relaxed Values from VASP.

Calculated values
Space-group type: Cmmm
E_form, eV/atom: 0.012

Quantum ESPRESSO input file:
```
&SYSTEM
  ibrav = 0, nat = 7, ntyp = 3
/
ATOMIC_SPECIES
La 138.91 La.upf
Er 167.26 Er.upf
Mg 24.30 Mg.upf
ATOMIC_POSITIONS angstrom
La 1.7700 10.1701 0.0000
La 1.7700 -10.1701 0.0000
Er 1.7700 14.8162 0.0000
Er 1.7700 0.0000 1.7577
Er 1.7700 -14.8162 0.0000
Mg 1.7700 4.6431 1.7577
Mg 1.7700 -4.6431 1.7577
CELL_PARAMETERS angstrom
1.7700 -17.2378 0.0000
1.7700 17.2378 0.0000
0.0000 0.0000 3.5153
```

***

Q: What is the formula in the first record?
A: TcSb2TeN